Here is crystalline AsPbAu2 at its relaxed geometry from Alexandria via LeMat-Bulk. Energies are from GGA-PBE.

The structure belongs to space group Cmmm (No. 65); the cell edges are 6.122, 7.010 and 4.024 Å and the angles 90.00°, 90.00° and 90.00°. Symmetry generates all atoms from As at (0.000, 0.000, 0.000), Pb at (0.000, 0.500, 0.000) and Au at (0.250, 0.250, 0.500).

Its total DFT energy (no corrections) is -3.58 eV/atom.